Entry 1:
DFT (GGA-PBEsol) results for a relaxed YH3Rh crystal.

Cell: 3.6184 3.6184 3.6184 Å, 90.00 90.00 90.00°
Closest atoms and distances in Å follow each position.
Element x y z (fractional)
Y: 0.0000 0.0000 0.0000  12 H 2.56
H: 0.0000 0.5000 0.5000  2 Rh 1.81
H: 0.5000 0.0000 0.5000  2 Rh 1.81
H: 0.5000 0.5000 0.0000  2 Rh 1.81
Rh: 0.5000 0.5000 0.5000  6 H 1.81

## Properties
Size of the total moment (μB/f.u.): 0.0
SG: Pm-3m (221)
Total energy (eV/cell): -28.0
Crystal system: cubic

---

Entry 2:
DFT (GGA-PBEsol) results for a relaxed CdGa2Hg crystal.

Cell: 10.4374 10.4374 10.4374 Å, 157.50 157.50 32.04°
Closest atoms and distances in Å follow each position.
Element x y z (fractional)
Cd: 0.0000 0.0000 0.0000  4 Hg 2.88, 4 Ga 2.89
Cd: 0.7500 0.2500 0.5000  4 Hg 2.88, 4 Ga 2.89
Ga: 0.1242 0.6250 0.9992  4 Ga 2.88, 2 Cd 2.89, 2 Hg 2.89
Ga: 0.3750 0.3742 0.4992  4 Ga 2.88, 2 Cd 2.89, 2 Hg 2.89
Ga: 0.6258 0.1250 0.0008  4 Ga 2.88, 2 Cd 2.89, 2 Hg 2.89
Ga: 0.8750 0.8758 0.5008  4 Ga 2.88, 2 Cd 2.89, 2 Hg 2.89
Hg: 0.2500 0.7500 0.5000  4 Cd 2.88, 4 Ga 2.89
Hg: 0.5000 0.5000 0.0000  4 Cd 2.88, 4 Ga 2.89

## Properties
Size of the total moment (μB/f.u.): 0.0
Energy of formation from the pure elements (meV per atom): 72
Energy above the most stable polymorph in this dataset (meV per atom): 0.0
SG: I-42d (122)
Crystal system: tetragonal

---

Entry 3:
DFT (GGA-PBEsol) results for a relaxed BaSrTl4 crystal.

Cell: 6.4229 6.4229 6.4229 Å, 60.00 60.00 60.00°
Closest atoms and distances in Å follow each position.
Element x y z (fractional)
Ba: 0.0000 0.0000 0.0000  12 Tl 3.77, 4 Sr 3.93
Sr: 0.2500 0.2500 0.2500  12 Tl 3.77, 4 Ba 3.93
Tl: 0.1257 0.6248 0.6248  6 Tl 3.21-3.22
Tl: 0.6248 0.1257 0.6248  6 Tl 3.21-3.22
Tl: 0.6248 0.6248 0.1257  6 Tl 3.21-3.22
Tl: 0.6248 0.6248 0.6248  6 Tl 3.21-3.22

## Properties
Size of the total moment (μB/f.u.): 0.0
Energy of formation from the pure elements (meV per atom): -348
SG: F-43m (216)
Crystal system: cubic

---

Entry 4:
DFT (GGA-PBEsol) results for a relaxed RbAsIN2 crystal.

Cell: 5.1603 5.1603 7.2444 Å, 90.00 90.00 90.00°
Closest atoms and distances in Å follow each position.
Element x y z (fractional)
Rb: 0.0000 0.0000 0.0000  4 N 2.58
As: 0.5000 0.5000 0.5000  4 I 3.65
I: 0.0000 0.0000 0.5000  2 Rb 3.62, 4 As 3.65
N: 0.0000 0.5000 0.0000  2 Rb 2.58
N: 0.5000 0.0000 0.0000  2 Rb 2.58

## Properties
Size of the total moment (μB/f.u.): 7.5
Energy relative to the elements, uncorrected (meV per atom): 2243.8
SG: P4/mmm (123)
Crystal system: tetragonal

---

Entry 5:
DFT (GGA-PBEsol) results for a relaxed SrTl2Au crystal.

Cell: 4.3378 6.6657 6.6657 Å, 35.51 90.00 90.00°
Closest atoms and distances in Å follow each position.
Element x y z (fractional)
Sr: 0.0000 0.0000 0.0000  4 Au 3.14, 1 Tl 3.42
Tl: 0.0000 0.7304 0.7304  2 Au 2.89
Tl: 0.5000 0.3330 0.3330  1 Au 3.13, 4 Tl 3.25
Au: 0.5000 0.5799 0.5799  3 Tl 2.89-3.13, 4 Sr 3.14

## Properties
Size of the total moment (μB/f.u.): 0.0
Energy of formation from the pure elements (meV per atom): -335
SG: Amm2 (38)
Crystal system: orthorhombic

---

Entry 6:
DFT (GGA-PBEsol) results for a relaxed KIn3Hg crystal.

Cell: 5.5831 5.5831 5.5831 Å, 90.00 90.00 90.00°
Closest atoms and distances in Å follow each position.
Element x y z (fractional)
K: 0.0000 0.0000 0.0000  12 In 3.95
In: 0.0000 0.5000 0.5000  2 Hg 2.79
In: 0.5000 0.0000 0.5000  2 Hg 2.79
In: 0.5000 0.5000 0.0000  2 Hg 2.79
Hg: 0.5000 0.5000 0.5000  6 In 2.79

## Properties
Size of the total moment (μB/f.u.): 0.0
Energy of formation from the pure elements (meV per atom): 183
SG: Pm-3m (221)
Crystal system: cubic

---

Entry 7:
DFT (GGA-PBEsol) results for a relaxed CaMg2 crystal.

Cell: 6.0254 6.0254 5.3423 Å, 90.00 90.00 120.00°
Closest atoms and distances in Å follow each position.
Element x y z (fractional)
Ca: 0.3333 0.6667 0.0000  9 Mg 3.39-3.48, 3 Ca 3.48
Ca: 0.6667 0.3333 0.0000  9 Mg 3.39-3.48, 3 Ca 3.48
Mg: 0.0000 0.0000 0.0000  6 Mg 3.25, 6 Ca 3.48
Mg: 0.0000 0.6930 0.5000  4 Mg 3.20-3.25, 4 Ca 3.39
Mg: 0.3070 0.3070 0.5000  4 Mg 3.20-3.25, 4 Ca 3.39
Mg: 0.6930 0.0000 0.5000  4 Mg 3.20-3.25, 4 Ca 3.39

## Properties
Size of the total moment (μB/f.u.): 0.0
Energy of formation from the pure elements (meV per atom): 3
SG: P-62m (189)
Crystal system: hexagonal

---

Entry 8:
DFT (GGA-PBEsol) results for a relaxed MgCu3Bi crystal.

Cell: 4.8927 4.8927 4.8927 Å, 90.00 90.00 90.00°
Closest atoms and distances in Å follow each position.
Element x y z (fractional)
Mg: 0.0000 0.0000 0.0000  12 Cu 3.46
Cu: 0.0000 0.5000 0.5000  2 Bi 2.45
Cu: 0.5000 0.0000 0.5000  2 Bi 2.45
Cu: 0.5000 0.5000 0.0000  2 Bi 2.45
Bi: 0.5000 0.5000 0.5000  6 Cu 2.45

## Properties
Size of the total moment (μB/f.u.): 0.0
Energy of formation from the pure elements (meV per atom): 842
SG: Pm-3m (221)
Crystal system: cubic

---

Entry 9:
DFT (GGA-PBEsol) results for a relaxed KLiTl3 crystal.

Cell: 5.2629 5.2629 5.2629 Å, 90.00 90.00 90.00°
Closest atoms and distances in Å follow each position.
Element x y z (fractional)
K: 0.0000 0.0000 0.0000  12 Tl 3.72
Li: 0.5000 0.5000 0.5000  6 Tl 2.63
Tl: 0.0000 0.5000 0.5000  2 Li 2.63
Tl: 0.5000 0.0000 0.5000  2 Li 2.63
Tl: 0.5000 0.5000 0.0000  2 Li 2.63

## Properties
Size of the total moment (μB/f.u.): 0.0
Energy of formation from the pure elements (meV per atom): -35
SG: Pm-3m (221)
Crystal system: cubic

---

Entry 10:
DFT (GGA-PBEsol) results for a relaxed Ta7BiO19 crystal.

Cell: 6.2222 6.2222 20.1522 Å, 90.00 90.00 120.00°
Closest atoms and distances in Å follow each position.
Element x y z (fractional)
Ta: 0.0017 0.3618 0.4058  6 O 1.91-2.04
Ta: 0.0017 0.6399 0.0942  6 O 1.91-2.04
Ta: 0.3333 0.6667 0.2500  6 O 2.00
Ta: 0.3601 0.3618 0.0942  6 O 1.91-2.04
Ta: 0.3601 0.9983 0.4058  6 O 1.91-2.04
Ta: 0.3618 0.0017 0.5942  6 O 1.91-2.04
Ta: 0.3618 0.3601 0.9058  6 O 1.91-2.04
Ta: 0.6382 0.6399 0.4058  6 O 1.91-2.04
Ta: 0.6382 0.9983 0.0942  6 O 1.91-2.04
Ta: 0.6399 0.0017 0.9058  6 O 1.91-2.04
Ta: 0.6399 0.6382 0.5942  6 O 1.91-2.04
Ta: 0.6667 0.3333 0.7500  6 O 2.00
Ta: 0.9983 0.3601 0.5942  6 O 1.91-2.04
Ta: 0.9983 0.6382 0.9058  6 O 1.91-2.04
Bi: 0.3333 0.6667 0.7500  6 O 2.41
Bi: 0.6667 0.3333 0.2500  6 O 2.41
O: 0.0000 0.3977 0.5000  2 Ta 1.91
O: 0.0000 0.6023 0.0000  2 Ta 1.91
O: 0.0022 0.2478 0.9035  2 Ta 1.98-1.99
O: 0.0022 0.7544 0.5965  2 Ta 1.98-1.99
O: 0.0466 0.4302 0.3063  2 Ta 2.00-2.04
O: 0.0466 0.6164 0.1937  2 Ta 2.00-2.04
O: 0.2456 0.2478 0.5965  2 Ta 1.98-1.99
O: 0.2456 0.9978 0.9035  2 Ta 1.98-1.99
O: 0.2478 0.0022 0.0965  2 Ta 1.98-1.99
O: 0.2478 0.2456 0.4035  2 Ta 1.98-1.99
O: 0.3333 0.6667 0.0911  3 Ta 1.99
O: 0.3333 0.6667 0.4090  3 Ta 1.99
O: 0.3333 0.6667 0.6140  3 Ta 2.04
O: 0.3333 0.6667 0.8860  3 Ta 2.04
O: 0.3836 0.4302 0.1937  2 Ta 2.00-2.04
O: 0.3836 0.9534 0.3063  2 Ta 2.00-2.04
O: 0.3977 0.0000 0.5000  2 Ta 1.91
O: 0.3977 0.3977 0.0000  2 Ta 1.91
O: 0.4302 0.0466 0.6937  2 Ta 2.00-2.04
O: 0.4302 0.3836 0.8063  2 Ta 2.00-2.04
O: 0.5698 0.6164 0.3063  2 Ta 2.00-2.04
O: 0.5698 0.9534 0.1937  2 Ta 2.00-2.04
O: 0.6023 0.0000 0.0000  2 Ta 1.91
O: 0.6023 0.6023 0.5000  2 Ta 1.91
O: 0.6164 0.0466 0.8063  2 Ta 2.00-2.04
O: 0.6164 0.5698 0.6937  2 Ta 2.00-2.04
O: 0.6667 0.3333 0.1140  3 Ta 2.04
O: 0.6667 0.3333 0.3860  3 Ta 2.04
O: 0.6667 0.3333 0.5910  3 Ta 1.99
O: 0.6667 0.3333 0.9090  3 Ta 1.99
O: 0.7522 0.7544 0.9035  2 Ta 1.98-1.99
O: 0.7522 0.9978 0.5965  2 Ta 1.98-1.99
O: 0.7544 0.0022 0.4035  2 Ta 1.98-1.99
O: 0.7544 0.7522 0.0965  2 Ta 1.98-1.99
O: 0.9534 0.3836 0.6937  2 Ta 2.00-2.04
O: 0.9534 0.5698 0.8063  2 Ta 2.00-2.04
O: 0.9978 0.2456 0.0965  2 Ta 1.98-1.99
O: 0.9978 0.7522 0.4035  2 Ta 1.98-1.99

## Properties
Size of the total moment (μB/f.u.): 0.0
Energy relative to the elements, uncorrected (meV per atom): -2722.4
Energy above the most stable polymorph in this dataset (meV per atom): 9.0
SG: P6_322 (182)
Crystal system: hexagonal

---

Entry 11:
DFT (GGA-PBEsol) results for a relaxed InW2Br crystal.

Cell: 5.0344 5.0344 5.0805 Å, 102.62 102.62 34.12°
Closest atoms and distances in Å follow each position.
Element x y z (fractional)
In: 0.0000 0.0000 0.0000  6 W 2.86-2.97, 4 Br 2.94, 2 In 2.95
W: 0.2505 0.2505 0.7516  3 In 2.86-2.97, 3 Br 2.87-2.97, 6 W 2.93-2.95
W: 0.7495 0.7495 0.2484  3 In 2.86-2.97, 3 Br 2.87-2.97, 6 W 2.93-2.95
Br: 0.5000 0.5000 0.5000  6 W 2.87-2.97, 4 In 2.94, 2 Br 2.95

## Properties
Size of the total moment (μB/f.u.): 0.0
Energy relative to the elements, uncorrected (meV per atom): 969.1
Energy above the most stable polymorph in this dataset (meV per atom): 491.3
SG: C2/m (12)
Crystal system: monoclinic

---

Entry 12:
DFT (GGA-PBEsol) results for a relaxed CuPbIO2 crystal.

Cell: 4.2170 4.2170 4.8854 Å, 90.00 90.00 90.00°
Closest atoms and distances in Å follow each position.
Element x y z (fractional)
Cu: 0.0000 0.0000 0.0000  4 O 2.11
Pb: 0.5000 0.5000 0.5000  4 I 2.98, 8 O 3.23
I: 0.0000 0.0000 0.5000  2 Cu 2.44
O: 0.0000 0.5000 0.0000  2 Cu 2.11
O: 0.5000 0.0000 0.0000  2 Cu 2.11

## Properties
Size of the total moment (μB/f.u.): 0.5
Energy relative to the elements, uncorrected (meV per atom): 100.5
SG: P4/mmm (123)
Crystal system: tetragonal

---

Entry 13:
DFT (GGA-PBEsol) results for a relaxed CsBiIN2 crystal.

Cell: 4.8182 4.8182 6.3673 Å, 90.00 90.00 90.00°
Closest atoms and distances in Å follow each position.
Element x y z (fractional)
Cs: 0.0000 0.0000 0.0000  4 I 3.41
Bi: 0.5000 0.5000 0.5000  4 N 2.41
I: 0.5000 0.5000 0.0000  2 Bi 3.18, 4 Cs 3.41
N: 0.0000 0.5000 0.5000  2 Bi 2.41
N: 0.5000 0.0000 0.5000  2 Bi 2.41

## Properties
Size of the total moment (μB/f.u.): 2.8
Energy relative to the elements, uncorrected (meV per atom): 906.9
SG: P4/mmm (123)
Crystal system: tetragonal

---

Entry 14:
DFT (GGA-PBEsol) results for a relaxed Nb3AlBr crystal.

Cell: 4.6846 4.6846 4.6846 Å, 90.00 90.00 90.00°
Closest atoms and distances in Å follow each position.
Element x y z (fractional)
Nb: 0.0000 0.0000 0.5000  2 Br 2.34
Nb: 0.0000 0.5000 0.0000  2 Br 2.34
Nb: 0.5000 0.0000 0.0000  2 Br 2.34
Al: 0.5000 0.5000 0.5000  12 Nb 3.31
Br: 0.0000 0.0000 0.0000  6 Nb 2.34

## Properties
Size of the total moment (μB/f.u.): 0.0
Energy relative to the elements, uncorrected (meV per atom): 999.8
Energy above the most stable polymorph in this dataset (meV per atom): 0.0
SG: Pm-3m (221)
Crystal system: cubic

---

Entry 15:
DFT (GGA-PBEsol) results for a relaxed Ti3NbSi crystal.

Cell: 4.6492 4.6492 4.6492 Å, 90.00 90.00 90.00°
Closest atoms and distances in Å follow each position.
Element x y z (fractional)
Ti: 0.0000 0.0000 0.5000  2 Nb 2.32
Ti: 0.0000 0.5000 0.0000  2 Nb 2.32
Ti: 0.5000 0.0000 0.0000  2 Nb 2.32
Nb: 0.0000 0.0000 0.0000  6 Ti 2.32
Si: 0.5000 0.5000 0.5000  12 Ti 3.29

## Properties
Size of the total moment (μB/f.u.): 1.2
Energy relative to the elements, uncorrected (meV per atom): 1082.8
SG: Pm-3m (221)
Crystal system: cubic

---

Entry 16:
DFT (GGA-PBEsol) results for a relaxed ScAlCd crystal.

Cell: 3.1354 3.1354 7.1660 Å, 90.00 90.00 120.00°
Closest atoms and distances in Å follow each position.
Element x y z (fractional)
Sc: 0.0000 0.0000 0.0000  3 Al 2.94, 3 Cd 3.08, 6 Sc 3.14
Al: 0.6667 0.3333 0.6763  3 Sc 2.94, 3 Cd 2.97, 6 Al 3.14
Cd: 0.3333 0.6667 0.3475  3 Al 2.97, 3 Sc 3.08, 6 Cd 3.14

## Properties
Size of the total moment (μB/f.u.): 0.0
Energy of formation from the pure elements (meV per atom): -55
SG: P3m1 (156)
Crystal system: trigonal

---

Entry 17:
DFT (GGA-PBEsol) results for a relaxed AlSb crystal.

Cell: 4.3616 4.3616 4.3616 Å, 60.00 60.00 60.00°
Closest atoms and distances in Å follow each position.
Element x y z (fractional)
Al: 0.0000 0.0000 0.0000  4 Sb 2.67
Sb: 0.2500 0.2500 0.2500  4 Al 2.67

## Properties
Size of the total moment (μB/f.u.): 0.0
Energy relative to the elements, uncorrected (meV per atom): -110.3
SG: F-43m (216)
Crystal system: cubic

---

Entry 18:
DFT (GGA-PBEsol) results for a relaxed LiNd2OsO6 crystal.

Cell: 5.3855 5.7731 9.3381 Å, 90.00 124.61 90.00°
Closest atoms and distances in Å follow each position.
Element x y z (fractional)
Li: 0.0000 0.0000 0.0000  6 O 2.03-2.14
Li: 0.0000 0.5000 0.5000  6 O 2.03-2.14
Nd: 0.2310 0.0720 0.7489  6 O 2.34-2.57
Nd: 0.2310 0.4280 0.2489  6 O 2.34-2.57
Nd: 0.7690 0.5720 0.7511  6 O 2.34-2.57
Nd: 0.7690 0.9280 0.2511  6 O 2.34-2.57
Os: 0.5000 0.0000 0.5000  6 O 1.97-1.98
Os: 0.5000 0.5000 0.0000  6 O 1.97-1.98
O: 0.1542 0.1870 0.4525  1 Os 1.97, 1 Li 2.14
O: 0.1542 0.3130 0.9525  1 Os 1.97, 1 Li 2.14
O: 0.2661 0.7105 0.4477  1 Os 1.98, 1 Li 2.14
O: 0.2661 0.7895 0.9477  1 Os 1.98, 1 Li 2.14
O: 0.3510 0.0296 0.2538  1 Os 1.97, 1 Li 2.03
O: 0.3510 0.4704 0.7538  1 Os 1.97, 1 Li 2.03
O: 0.6490 0.5296 0.2462  1 Os 1.97, 1 Li 2.03
O: 0.6490 0.9704 0.7462  1 Os 1.97, 1 Li 2.03
O: 0.7339 0.2105 0.0523  1 Os 1.98, 1 Li 2.14
O: 0.7339 0.2895 0.5523  1 Os 1.98, 1 Li 2.14
O: 0.8458 0.6870 0.0475  1 Os 1.97, 1 Li 2.14
O: 0.8458 0.8130 0.5475  1 Os 1.97, 1 Li 2.14

## Properties
Size of the total moment (μB/f.u.): 3.0
Energy relative to the elements, uncorrected (meV per atom): -2426.1
SG: P2_1/c (14)
Crystal system: monoclinic

---

Entry 19:
DFT (GGA-PBEsol) results for a relaxed In2W crystal.

Cell: 7.3877 7.3877 7.3877 Å, 157.43 157.43 32.13°
Closest atoms and distances in Å follow each position.
Element x y z (fractional)
In: 0.1527 0.1527 0.0000  4 In 2.89, 4 W 2.98
In: 0.8473 0.8473 0.0000  4 In 2.89, 4 W 2.98
W: 0.5000 0.5000 0.0000  4 W 2.89, 8 In 2.98

## Properties
Size of the total moment (μB/f.u.): 0.0
Energy of formation from the pure elements (meV per atom): 618
SG: I4/mmm (139)
Crystal system: tetragonal

---

Entry 20:
DFT (GGA-PBEsol) results for a relaxed BeSiRu2 crystal.

Cell: 2.9111 2.9111 5.4731 Å, 90.00 90.00 90.00°
Closest atoms and distances in Å follow each position.
Element x y z (fractional)
Be: 0.0000 0.0000 0.0000  5 Ru 2.33-2.57, 4 Si 2.43
Si: 0.5000 0.5000 0.7651  5 Ru 2.38-2.43, 4 Be 2.43
Ru: 0.0000 0.0000 0.5306  4 Si 2.43, 1 Be 2.57
Ru: 0.5000 0.5000 0.2001  4 Be 2.33, 1 Si 2.38

## Properties
Size of the total moment (μB/f.u.): 0.0
Energy relative to the elements, uncorrected (meV per atom): -377.2
Energy above the most stable polymorph in this dataset (meV per atom): 196.0
SG: P4mm (99)
Crystal system: tetragonal